A plane-wave DFT calculation with GGA-PBEsol was carried out for a relaxed YHWS2 crystal.

Cell lengths 3.367, 4.519, 4.519 Å; angles 90.00, 90.00, 90.00 degrees
Fractional positions:
S 0.000 0.500 0.000
S 0.000 0.000 0.500
Y 0.500 0.500 0.500
H 0.000 0.000 0.000
W 0.500 0.000 0.000


A plane-wave DFT calculation with GGA-PBEsol was carried out for a relaxed Y2HS crystal.

Cell lengths 4.577, 4.577, 4.577 Å; angles 60.00, 60.00, 60.00 degrees
Fractional positions:
Y 0.250 0.250 0.250
Y 0.750 0.750 0.750
S 0.500 0.500 0.500
H 0.000 0.000 0.000


A plane-wave DFT calculation with GGA-PBEsol was carried out for a relaxed ZnHS2 crystal.

Cell lengths 3.572, 3.572, 6.194 Å; angles 73.24, 73.24, 60.00 degrees
Fractional positions:
S 0.093 0.093 0.722
S 0.907 0.907 0.278
Zn 0.500 0.500 0.500
H 0.000 0.000 0.000


A plane-wave DFT calculation with GGA-PBEsol was carried out for a relaxed Zn3HS crystal.

Cell lengths 4.052, 4.052, 4.052 Å; angles 90.00, 90.00, 90.00 degrees
Fractional positions:
Zn 0.000 0.000 0.500
Zn 0.000 0.500 0.000
Zn 0.500 0.000 0.000
S 0.500 0.500 0.500
H 0.000 0.000 0.000


| no. | DOS at the Fermi energy (states/eV/f.u.) | electronic total energy (eV per cell) |
| --- | --- | --- |
| 1 | 3.03 | -34.5 |
| 2 | 4.36 | -24.5 |
| 3 | 4.25 | -14.0 |
| 4 | 1.77 | -10.9 |